Record 1
Computed, not measured: a relaxed CrCdIn2 crystal at the PBE level of DFT.

## Properties
For the formation energy, the calculation gives 0.30 eV/atom. The value obtained for the calculated density is 7.19 g/cm³. The calculation puts the calculated volume at 91.01 Å³/cell. The uncorrected energy is -14.8 eV per formula unit.

Lattice parameters (Å, degrees): 9.776 9.776 9.776 19.50 19.50 19.50
Sites, in units of the cell vectors:
Cr 0.000 0.000 0.000
Cd 0.743 0.743 0.743
In 0.258 0.258 0.258
In 0.499 0.499 0.499


Record 2
Computed, not measured: a relaxed Pm2HoCd2 crystal at the PBE level of DFT.

## Properties
For the formation energy, the calculation gives -0.25 eV/atom. The value obtained for the calculated density is 7.93 g/cm³. The calculation puts the calculated volume at 284.72 Å³/cell. The uncorrected energy is -17.2 eV per formula unit.

Lattice parameters (Å, degrees): 3.755 5.380 14.218 90.00 97.59 90.00
Sites, in units of the cell vectors:
Pm 0.044 0.250 0.088
Pm 0.234 0.250 0.469
Pm 0.766 0.750 0.531
Pm 0.956 0.750 0.912
Ho 0.150 0.750 0.299
Ho 0.850 0.250 0.701
Cd 0.361 0.750 0.722
Cd 0.443 0.250 0.886
Cd 0.557 0.750 0.114
Cd 0.639 0.250 0.278


Record 3
Computed, not measured: a relaxed PdN2ClF crystal at the PBE level of DFT.

## Properties
The value obtained for the calculated density is 4.54 g/cm³. The calculation puts the calculated volume at 69.03 Å³/cell. Its formation energy from raw total energies is 1.22 eV/atom. The uncorrected energy is -19.4 eV per formula unit.

Lattice parameters (Å, degrees): 4.087 4.087 4.133 90.00 90.00 90.00
Sites, in units of the cell vectors:
Pd 0.000 0.000 0.000
N 0.000 0.500 0.000
N 0.500 0.000 0.000
Cl 0.500 0.500 0.500
F 0.000 0.000 0.500


Record 4
Computed, not measured: a relaxed KAg4Cl crystal at the PBE level of DFT.

## Properties
The value obtained for the calculated density is 6.20 g/cm³. The calculation puts the calculated volume at 135.50 Å³/cell. Its formation energy from raw total energies is -0.17 eV/atom. The uncorrected energy is -15.4 eV per formula unit.

Lattice parameters (Å, degrees): 5.765 5.765 5.765 60.00 60.00 60.00
Sites, in units of the cell vectors:
K 0.000 0.000 0.000
Ag 0.126 0.625 0.625
Ag 0.625 0.126 0.625
Ag 0.625 0.625 0.126
Ag 0.625 0.625 0.625
Cl 0.250 0.250 0.250


Record 5
Computed, not measured: a relaxed RbPdN2F crystal at the PBE level of DFT.

## Properties
The value obtained for the calculated density is 2.22 g/cm³. The calculation puts the calculated volume at 178.41 Å³/cell. Its formation energy from raw total energies is 2.14 eV/atom. The uncorrected energy is -14.0 eV per formula unit.

Lattice parameters (Å, degrees): 5.411 5.411 6.095 90.00 90.00 90.00
Sites, in units of the cell vectors:
Rb 0.000 0.000 0.000
Pd 0.000 0.000 0.500
N 0.000 0.500 0.000
N 0.500 0.000 0.000
F 0.500 0.500 0.500


Record 6
Computed, not measured: a relaxed LiPr2Ga3 crystal at the PBE level of DFT.

## Properties
For the formation energy, the calculation gives -0.54 eV/atom. The value obtained for the calculated density is 6.00 g/cm³. The calculation puts the calculated volume at 275.80 Å³/cell. The uncorrected energy is -23.8 eV per formula unit.

Lattice parameters (Å, degrees): 9.136 8.779 5.955 73.87 67.37 38.76
Sites, in units of the cell vectors:
Li 0.169 0.169 0.831
Li 0.831 0.831 0.169
Pr 0.243 0.757 0.757
Pr 0.250 0.250 0.250
Pr 0.750 0.750 0.750
Pr 0.757 0.243 0.243
Ga 0.170 0.663 0.337
Ga 0.335 0.335 0.665
Ga 0.337 0.830 0.170
Ga 0.663 0.170 0.830
Ga 0.665 0.665 0.335
Ga 0.830 0.337 0.663


Record 7
Computed, not measured: a relaxed YPSe4 crystal at the PBE level of DFT.

## Properties
The value obtained for the calculated density is 4.27 g/cm³. The calculation puts the calculated volume at 338.97 Å³/cell. Its formation energy from raw total energies is -0.73 eV/atom. The uncorrected energy is -30.2 eV per formula unit.

Lattice parameters (Å, degrees): 9.493 7.974 7.422 76.04 54.60 49.35
Sites, in units of the cell vectors:
Y 0.125 0.125 0.125
Y 0.875 0.875 0.875
P 0.375 0.375 0.375
P 0.625 0.625 0.625
Se 0.144 0.753 0.392
Se 0.211 0.392 0.753
Se 0.247 0.856 0.789
Se 0.392 0.211 0.144
Se 0.608 0.789 0.856
Se 0.753 0.144 0.211
Se 0.789 0.608 0.247
Se 0.856 0.247 0.608


Record 8
Computed, not measured: a relaxed La2ScCl crystal at the PBE level of DFT.

## Properties
The value obtained for the calculated density is 5.10 g/cm³. The calculation puts the calculated volume at 116.58 Å³/cell. Its formation energy from raw total energies is -0.27 eV/atom. The uncorrected energy is -19.1 eV per formula unit.

Lattice parameters (Å, degrees): 3.504 5.421 6.136 90.00 90.00 90.00
Sites, in units of the cell vectors:
La 0.000 0.000 0.000
La 0.500 0.000 0.500
Sc 0.000 0.500 0.500
Cl 0.500 0.500 0.000